1.
Here is crystalline RbNaIF6 at its relaxed geometry from Alexandria via LeMat-Bulk. Energies are from PBE.

a = 5.2907 Å, b = 5.8069 Å, c = 6.3331 Å
α = 90.04°, β = 114.63°, γ = 90.87°
Closest atoms and distances in Å follow each position.
Space group P1 (No. 1)
Asymmetric unit:
Rb1 0.0000 0.0000 0.0000 x1  8 F 2.89-3.14
Na1 0.6453 0.4990 0.2912 x1  6 F 2.29-2.38
I1 0.3356 0.4993 0.6679 x1  6 F 2.07-2.17
F1 0.0668 0.6697 0.3612 x1  1 I 2.13, 1 Na 2.29
F2 0.3320 0.2974 0.3862 x1  1 I 2.13, 1 Na 2.29
F3 0.4738 0.2714 0.9630 x1  1 I 2.16, 1 Na 2.30
F4 0.4885 0.7277 0.9672 x1  1 I 2.17, 1 Na 2.30
F5 0.6101 0.7121 0.5963 x1  1 I 2.08
F6 0.9908 0.2865 0.5935 x1  1 I 2.07

Values from the calculation:
* crystal system: triclinic


2.
Here is crystalline Na2ReIF at its relaxed geometry from Alexandria via LeMat-Bulk. Energies are from PBE.

a = 6.0214 Å, b = 6.0214 Å, c = 4.0869 Å
α = 90.00°, β = 90.00°, γ = 90.00°
Closest atoms and distances in Å follow each position.
Space group P4/mmm (No. 123)
Asymmetric unit:
Na1 0.0000 0.5000 0.0000 x2  2 Re 3.01
Re1 0.0000 0.0000 0.0000 x1  2 F 2.04
I1 0.5000 0.5000 0.5000 x1  8 Na 3.64
F1 0.0000 0.0000 0.5000 x1  2 Re 2.04

Values from the calculation:
* crystal system: tetragonal


3.
Here is crystalline NaSb2IF at its relaxed geometry from Alexandria via LeMat-Bulk. Energies are from PBE.

a = 5.4452 Å, b = 5.4452 Å, c = 5.5185 Å
α = 90.00°, β = 90.00°, γ = 90.00°
Closest atoms and distances in Å follow each position.
Space group P4/mmm (No. 123)
Asymmetric unit:
Na1 0.0000 0.0000 0.0000 x1  4 Sb 2.72, 2 I 2.76
Sb1 0.0000 0.5000 0.0000 x2  2 Na 2.72
I1 0.0000 0.0000 0.5000 x1  2 Na 2.76
F1 0.5000 0.5000 0.5000 x1  4 I 3.85, 8 Sb 3.88

Values from the calculation:
* crystal system: tetragonal
* E above lowest polymorph: 79.7 kJ/mol of atoms


4.
Here is crystalline NaSb2IF at its relaxed geometry from Alexandria via LeMat-Bulk. Energies are from PBE.

a = 4.6952 Å, b = 4.6952 Å, c = 6.9235 Å
α = 90.00°, β = 90.00°, γ = 90.00°
Closest atoms and distances in Å follow each position.
Space group P4/mmm (No. 123)
Asymmetric unit:
Na1 0.0000 0.0000 0.0000 x1  4 I 3.32
Sb1 0.0000 0.5000 0.5000 x2  2 F 2.35
I1 0.5000 0.5000 0.0000 x1  4 Na 3.32, 2 F 3.46
F1 0.5000 0.5000 0.5000 x1  4 Sb 2.35

Values from the calculation:
* crystal system: tetragonal
* E above lowest polymorph: 0.0 kJ/mol of atoms


5.
Here is crystalline NaSnIF2 at its relaxed geometry from Alexandria via LeMat-Bulk. Energies are from PBE.

a = 7.1777 Å, b = 4.2279 Å, c = 8.1133 Å
α = 90.00°, β = 102.64°, γ = 90.00°
Closest atoms and distances in Å follow each position.
Space group P2_1/m (No. 11)
Asymmetric unit:
Na1 0.1469 0.2500 0.4090 x2  4 F 2.35-2.44
Sn1 0.1885 0.2500 0.8920 x2  3 F 2.17-2.43
I1 0.4393 0.7500 0.7123 x2  3 Sn 3.31-3.70, 3 Na 3.33-3.56, 1 F 3.59
F1 0.0025 0.7500 0.3561 x2  1 Sn 2.17, 3 Na 2.35-2.38
F2 0.0212 0.7500 0.8869 x2  3 Sn 2.43-2.58, 1 Na 2.44

Values from the calculation:
* crystal system: monoclinic


6.
Here is crystalline Na3TaI2F6 at its relaxed geometry from Alexandria via LeMat-Bulk. Energies are from PBE.

a = 15.7730 Å, b = 7.0599 Å, c = 5.1863 Å
α = 90.00°, β = 90.81°, γ = 90.00°
Closest atoms and distances in Å follow each position.
Space group C2/m (No. 12)
Asymmetric unit:
Na1 0.0000 0.0000 0.0000 x2  4 F 2.49
Na2 0.2500 0.2500 0.5000 x4  2 F 2.66
Ta1 0.0000 0.5000 0.5000 x2  6 F 1.92-1.96
I1 0.1903 0.0000 0.0211 x4  3 Na 3.00-3.18
F1 0.0080 0.3014 0.7515 x8  1 Ta 1.92
F2 0.1236 0.5000 0.4749 x4  1 Ta 1.96

Values from the calculation:
* crystal system: monoclinic


7.
Here is crystalline Na3TcI2F6 at its relaxed geometry from Alexandria via LeMat-Bulk. Energies are from PBE.

a = 14.0451 Å, b = 6.4563 Å, c = 5.8543 Å
α = 90.00°, β = 90.33°, γ = 90.00°
Closest atoms and distances in Å follow each position.
Space group C2/m (No. 12)
Asymmetric unit:
Na1 0.0000 0.0000 0.0000 x2  4 F 2.39
Na2 0.2500 0.2500 0.5000 x4  2 F 2.21
Tc1 0.0000 0.5000 0.5000 x2  6 F 1.96-2.00
I1 0.2345 0.0000 0.0008 x4  2 I 3.26, 5 Na 3.29-3.35, 2 F 3.39-3.41
F1 0.0019 0.2780 0.7293 x8  1 Tc 1.96
F2 0.1425 0.5000 0.4958 x4  1 Tc 2.00, 2 Na 2.21

Values from the calculation:
* crystal system: monoclinic


8.
Here is crystalline NaTl2IF6 at its relaxed geometry from Alexandria via LeMat-Bulk. Energies are from PBE.

a = 5.3034 Å, b = 6.2839 Å, c = 6.9308 Å
α = 67.83°, β = 72.00°, γ = 87.79°
Closest atoms and distances in Å follow each position.
Space group P-1 (No. 2)
Asymmetric unit:
Na1 0.0000 0.0000 0.0000 x1  6 F 2.29-2.42
Tl1 0.2747 0.7798 0.4779 x2  2 F 2.46-2.61
I1 0.5000 0.5000 0.0000 x1  4 F 2.05
F1 0.1404 0.6134 0.1206 x2  1 I 2.05
F2 0.2270 0.0734 0.6391 x2  1 Na 2.29, 1 Tl 2.46
F3 0.3242 0.1807 0.0787 x2  1 I 2.05

Values from the calculation:
* crystal system: triclinic


9.
Here is crystalline NaUI2F6 at its relaxed geometry from Alexandria via LeMat-Bulk. Energies are from PBE.

a = 9.7308 Å, b = 9.7308 Å, c = 9.7308 Å
α = 90.00°, β = 90.00°, γ = 90.00°
Closest atoms and distances in Å follow each position.
Space group Fm-3m (No. 225)
Asymmetric unit:
Na1 0.0000 0.0000 0.0000 x4  6 F 2.79
U1 0.0000 0.0000 0.5000 x4  6 F 2.07
I1 0.2500 0.2500 0.2500 x8  12 F 3.46
F1 0.0000 0.0000 0.2868 x24  1 U 2.07

Values from the calculation:
* crystal system: cubic


Number 1: calculated volume 177 Å³ per cell, raw formation energy -2019 meV per atom. Number 2: calculated volume 148 Å³ per cell, raw formation energy -28 meV per atom. Number 3: calculated volume 164 Å³ per cell, raw formation energy 374 meV per atom. Number 4: calculated volume 153 Å³ per cell, raw formation energy -452 meV per atom. Number 5: calculated volume 240 Å³ per cell, raw formation energy -1924 meV per atom. Number 6: calculated volume 577 Å³ per cell, raw formation energy -2514 meV per atom. Number 7: calculated volume 531 Å³ per cell, raw formation energy -1974 meV per atom. Number 8: calculated volume 203 Å³ per cell, raw formation energy -1842 meV per atom. Number 9: calculated volume 921 Å³ per cell, raw formation energy -2431 meV per atom.